Entry 1:
Density functional theory data (PBE) for crystalline Al2CdIr at its relaxed geometry.

For the energy, the calculation gives -4.573 eV per atom. The total moment is 0.000 μB/atom.

Cell: 5.810 5.839 7.481 Å, 90.00 90.00 90.00°
Space group Fmmm (No. 69)
Asymmetric unit:
Al (0.250, 0.250, 0.250) (multiplicity 8)
Cd (0.000, 0.000, 0.000) (multiplicity 4)
Ir (0.000, 0.000, 0.500) (multiplicity 4)

Entry 2:
Density functional theory data (PBE) for crystalline TcSbIO2 at its relaxed geometry.

For the energy, the calculation gives -5.270 eV per atom. As for the polymorph energy (0 for the lowest one): 0.0000 eV per atom. The total moment is 0.000 μB/atom. The value obtained for the formation energy from raw total energies is -79 meV/atom.

Cell: 3.999 3.999 6.131 Å, 90.00 90.00 90.00°
Space group P4/mmm (No. 123)
Asymmetric unit:
Tc (0.000, 0.000, 0.000) (multiplicity 1)
Sb (0.500, 0.500, 0.500) (multiplicity 1)
I (0.000, 0.000, 0.500) (multiplicity 1)
O (0.000, 0.500, 0.000) (multiplicity 2)

Entry 3:
Density functional theory data (PBE) for crystalline Mg3AgSn2 at its relaxed geometry.

For the energy, the calculation gives -2.751 eV per atom. As for the polymorph energy (0 for the lowest one): 0.0124 eV per atom. The total moment is 0.000 μB/atom.

Cell: 6.142 14.281 6.303 Å, 90.00 90.00 90.00°
Space group Ibam (No. 72)
Asymmetric unit:
Mg (0.000, 0.000, 0.250) (multiplicity 4)
Mg (0.229, 0.342, 0.000) (multiplicity 8)
Ag (0.000, 0.500, 0.250) (multiplicity 4)
Sn (0.235, 0.138, 0.000) (multiplicity 8)

Entry 4:
Density functional theory data (PBE) for crystalline ZrTaTl2Bi at its relaxed geometry.

For the energy, the calculation gives -4.041 eV per atom. The total moment is 0.468 μB/atom.

Cell: 5.682 5.682 5.582 Å, 90.00 90.00 90.00°
Space group P4/mmm (No. 123)
Asymmetric unit:
Zr (0.000, 0.000, 0.000) (multiplicity 1)
Ta (0.500, 0.500, 0.000) (multiplicity 1)
Tl (0.000, 0.500, 0.500) (multiplicity 2)
Bi (0.000, 0.000, 0.500) (multiplicity 1)

Entry 5:
Density functional theory data (PBE) for crystalline Mo4WSe at its relaxed geometry.

For the energy, the calculation gives -9.334 eV per atom. The total moment is 0.000 μB/atom. The value obtained for the formation energy from raw total energies is 626 meV/atom.

Cell: 7.403 7.403 7.403 Å, 90.00 90.00 90.00°
Space group F-43m (No. 216)
Asymmetric unit:
Mo (0.125, 0.125, 0.125) (multiplicity 16)
W (0.000, 0.000, 0.500) (multiplicity 4)
Se (0.250, 0.250, 0.750) (multiplicity 4)

Entry 6:
Density functional theory data (PBE) for crystalline HgAs2Se2 at its relaxed geometry.

For the energy, the calculation gives -3.239 eV per atom. As for the polymorph energy (0 for the lowest one): 0.0000 eV per atom. The total moment is 0.000 μB/atom. The value obtained for the formation energy from raw total energies is 75 meV/atom.

Cell: 8.435 8.435 3.605 Å, 90.00 90.00 90.00°
Space group P4/mbm (No. 127)
Asymmetric unit:
Hg (0.000, 0.000, 0.000) (multiplicity 2)
As (0.218, 0.282, 0.000) (multiplicity 4)
Se (0.142, 0.642, 0.500) (multiplicity 4)

Entry 7:
Density functional theory data (PBE) for crystalline TaMn2Os at its relaxed geometry.

For the energy, the calculation gives -10.331 eV per atom. As for the polymorph energy (0 for the lowest one): 0.1141 eV per atom. The total moment is 1.026 μB/atom.

Cell: 3.749 3.749 8.077 Å, 90.00 90.00 90.00°
Space group I4/mmm (No. 139)
Asymmetric unit:
Ta (0.000, 0.000, 0.000) (multiplicity 2)
Mn (0.000, 0.500, 0.250) (multiplicity 4)
Os (0.000, 0.000, 0.500) (multiplicity 2)

Entry 8:
Density functional theory data (PBE) for crystalline DyPS4Cl at its relaxed geometry.

For the energy, the calculation gives -4.879 eV per atom. The total moment is 0.000 μB/atom. The value obtained for the formation energy from raw total energies is -826 meV/atom.

Cell: 10.491 8.744 8.898 Å, 90.00 97.74 90.00°
Space group C2/m (No. 12)
Asymmetric unit:
Dy (0.191, 0.000, 0.059) (multiplicity 4)
P (0.110, 0.500, 0.242) (multiplicity 4)
S (0.077, 0.500, 0.724) (multiplicity 4)
S (0.170, 0.322, 0.112) (multiplicity 8)
S (0.195, 0.500, 0.457) (multiplicity 4)
Cl (0.019, 0.000, 0.808) (multiplicity 4)

Entry 9:
Density functional theory data (PBE) for crystalline RbLiO at its relaxed geometry.

For the energy, the calculation gives -3.978 eV per atom. The total moment is 0.002 μB/atom. The value obtained for the formation energy from raw total energies is -1364 meV/atom.

Cell: 6.600 3.558 9.126 Å, 90.00 90.00 90.00°
Space group Pnma (No. 62)
Asymmetric unit:
Rb (0.004, 0.250, 0.177) (multiplicity 4)
Li (0.103, 0.750, 0.503) (multiplicity 4)
O (0.189, 0.250, 0.546) (multiplicity 4)

Entry 10:
Density functional theory data (PBE) for crystalline KBi4Rh at its relaxed geometry.

For the energy, the calculation gives -4.190 eV per atom. The total moment is 0.000 μB/atom.

Cell: 6.546 6.546 18.590 Å, 90.00 90.00 90.00°
Space group I4/mcm (No. 140)
Asymmetric unit:
K (0.000, 0.000, 0.000) (multiplicity 4)
Bi (0.192, 0.308, 0.161) (multiplicity 16)
Rh (0.000, 0.000, 0.250) (multiplicity 4)

Entry 11:
Density functional theory data (PBE) for crystalline LiAg2PdC at its relaxed geometry.

For the energy, the calculation gives -3.864 eV per atom. The total moment is 0.000 μB/atom.

Cell: 4.218 4.218 4.120 Å, 90.00 90.00 90.00°
Space group P4/mmm (No. 123)
Asymmetric unit:
Li (0.000, 0.000, 0.000) (multiplicity 1)
Ag (0.000, 0.500, 0.500) (multiplicity 2)
Pd (0.500, 0.500, 0.000) (multiplicity 1)
C (0.000, 0.000, 0.500) (multiplicity 1)

Entry 12:
Density functional theory data (PBE) for crystalline Ti3Ga3MoRh2 at its relaxed geometry.

For the energy, the calculation gives -6.946 eV per atom. The total moment is 0.000 μB/atom.

Cell: 7.2899 7.2899 3.0633 Å, 90.00 90.00 120.00°
Space group P-62m (No. 189)
Asymmetric unit:
Ti (0.0000, 0.7121, 0.0000) (multiplicity 3)
Ga (0.0000, 0.3712, 0.5000) (multiplicity 3)
Mo (0.0000, 0.0000, 0.5000) (multiplicity 1)
Rh (0.3333, 0.6667, 0.0000) (multiplicity 2)